one:
The following is a PBE calculation of a geometry-optimized ZrZn2Br structure, from Alexandria.

DOS at the Fermi energy = 0.819 states/eV/atom
Total magnetization = 0.00 μB per atom
Crystal system = tetragonal
Volume = 21.3 Å³/atom

Cell: 7.9216 7.9216 5.4227 Å, 90.00 90.00 90.00°
With the nearest neighbours (Å) after each atom.
Space group I-42d (No. 122)
Unique sites:
1 Zr 0.0000 0.0000 0.0000 (multiplicity 4)  2 Br 2.71, 4 Zn 2.84
2 Zn 0.2432 0.2500 0.1250 (multiplicity 8)  2 Zn 2.71, 2 Zr 2.84, 2 Br 2.92
3 Br 0.0000 0.0000 0.5000 (multiplicity 4)  2 Zr 2.71, 4 Zn 2.92

=====

two:
The following is a PBE calculation of a geometry-optimized ZrZn2Br structure, from Alexandria.

DOS at the Fermi energy = 0.638 states/eV/atom
Total magnetization = 0.00 μB per atom
Crystal system = trigonal
Volume = 22.1 Å³/atom

Cell: 3.3561 3.3561 27.1261 Å, 90.00 90.00 120.00°
With the nearest neighbours (Å) after each atom.
Space group R3m (No. 160, hexagonal axes)
Unique sites:
1 Zr 0.0000 0.0000 0.0000 (multiplicity 3)  3 Br 2.75, 3 Zn 2.94
2 Zn 0.0000 0.0000 0.4794 (multiplicity 3)  3 Zn 2.61
3 Zn 0.0000 0.0000 0.7483 (multiplicity 3)  3 Zn 2.61
4 Br 0.0000 0.0000 0.2615 (multiplicity 3)  3 Zr 2.75

=====

Most stable = two

=====

one:
The following is a PBE calculation of a geometry-optimized ZrZn2Br structure, from Alexandria.

DOS at the Fermi energy = 0.871 states/eV/atom
Total magnetization = 0.00 μB per atom
Crystal system = monoclinic
Volume = 19.9 Å³/atom

Cell: 11.6012 3.2711 4.5458 Å, 90.00 112.96 90.00°
With the nearest neighbours (Å) after each atom.
Space group C2/m (No. 12)
Unique sites:
1 Zr 0.0000 0.0000 0.0000 (multiplicity 2)  4 Br 2.80, 4 Zn 2.99
2 Zn 0.2348 0.5000 0.2345 (multiplicity 4)  4 Zn 2.82, 2 Zr 2.99
3 Br 0.0000 0.5000 0.5000 (multiplicity 2)  4 Zr 2.80

=====

two:
The following is a PBE calculation of a geometry-optimized ZrZn2Br structure, from Alexandria.

DOS at the Fermi energy = 0.709 states/eV/atom
Total magnetization = 0.00 μB per atom
Crystal system = cubic
Volume = 19.2 Å³/atom

Cell: 6.7422 6.7422 6.7422 Å, 90.00 90.00 90.00°
With the nearest neighbours (Å) after each atom.
Space group F-43m (No. 216)
Unique sites:
1 Zr 0.0000 0.0000 0.0000 (multiplicity 4)  4 Br 2.92, 4 Zn 2.92
2 Zn 0.0000 0.0000 0.5000 (multiplicity 4)  4 Br 2.92, 4 Zn 2.92
3 Zn 0.2500 0.2500 0.2500 (multiplicity 4)  4 Zr 2.92, 4 Zn 2.92
4 Br 0.2500 0.2500 0.7500 (multiplicity 4)  4 Zr 2.92, 4 Zn 2.92

=====

three:
The following is a PBE calculation of a geometry-optimized ZrZn2Br structure, from Alexandria.

DOS at the Fermi energy = 0.484 states/eV/atom
Total magnetization = 0.00 μB per atom
Crystal system = tetragonal
Volume = 20.7 Å³/atom

Cell: 3.5191 3.5191 6.6742 Å, 90.00 90.00 90.00°
With the nearest neighbours (Å) after each atom.
Space group P4/mmm (No. 123)
Unique sites:
1 Zr 0.0000 0.0000 0.0000 (multiplicity 1)  8 Zn 2.90
2 Zn 0.5000 0.5000 0.2230 (multiplicity 2)  4 Zr 2.90, 1 Zn 2.98, 4 Br 3.10
3 Br 0.0000 0.0000 0.5000 (multiplicity 1)  8 Zn 3.10, 2 Zr 3.34

=====

four:
The following is a PBE calculation of a geometry-optimized ZrZn2Br structure, from Alexandria.

DOS at the Fermi energy = 0.740 states/eV/atom
Total magnetization = 0.00 μB per atom
Crystal system = orthorhombic
Volume = 19.6 Å³/atom

Cell: 3.2227 4.5462 5.3593 Å, 90.00 90.00 90.00°
With the nearest neighbours (Å) after each atom.
Space group Pmmm (No. 47)
Unique sites:
1 Zr 0.0000 0.0000 0.0000 (multiplicity 1)  4 Br 2.79
2 Zn 0.0000 0.5000 0.5000 (multiplicity 1)  4 Zn 2.79
3 Zn 0.5000 0.0000 0.5000 (multiplicity 1)  4 Zn 2.79
4 Br 0.5000 0.5000 0.0000 (multiplicity 1)  4 Zr 2.79

=====

Most stable = three

=====

one:
The following is a PBE calculation of a geometry-optimized ZrZn2Br structure, from Alexandria.

DOS at the Fermi energy = 0.393 states/eV/atom
Total magnetization = 0.00 μB per atom
Crystal system = tetragonal
Volume = 22.7 Å³/atom

Cell: 3.2053 3.2053 8.8322 Å, 90.00 90.00 90.00°
With the nearest neighbours (Å) after each atom.
Space group P4mm (No. 99)
Unique sites:
1 Zr 0.0000 0.0000 0.0000 (multiplicity 1)  4 Br 2.89, 5 Zn 2.97-3.22, 4 Zr 3.21
2 Zn 0.0000 0.0000 0.6349 (multiplicity 1)  4 Zn 2.62
3 Zn 0.5000 0.5000 0.7828 (multiplicity 1)  4 Zn 2.62
4 Br 0.5000 0.5000 0.2032 (multiplicity 1)  4 Zr 2.89, 4 Br 3.21

=====

two:
The following is a PBE calculation of a geometry-optimized ZrZn2Br structure, from Alexandria.

DOS at the Fermi energy = 0.801 states/eV/atom
Total magnetization = 0.00 μB per atom
Crystal system = orthorhombic
Volume = 20.7 Å³/atom

Cell: 3.2863 5.1488 9.7806 Å, 90.00 90.00 90.00°
With the nearest neighbours (Å) after each atom.
Space group Imm2 (No. 44)
Unique sites:
1 Zr 0.0000 0.0000 0.0000 (multiplicity 2)  2 Br 2.74, 6 Zn 2.94-3.06
2 Zn 0.0000 0.0000 0.5120 (multiplicity 2)  2 Zn 2.86, 4 Zr 3.06
3 Zn 0.0000 0.5000 0.2508 (multiplicity 2)  2 Zn 2.86, 2 Zr 2.94, 4 Br 3.06
4 Br 0.0000 0.5000 0.7244 (multiplicity 2)  2 Zr 2.74, 4 Zn 3.06

=====

three:
The following is a PBE calculation of a geometry-optimized ZrZn2Br structure, from Alexandria.

DOS at the Fermi energy = 0.810 states/eV/atom
Total magnetization = 0.00 μB per atom
Crystal system = orthorhombic
Volume = 20.1 Å³/atom

Cell: 5.4069 9.1424 3.2456 Å, 90.00 90.00 90.00°
With the nearest neighbours (Å) after each atom.
Space group Cmmm (No. 65)
Unique sites:
1 Zr 0.0000 0.0000 0.0000 (multiplicity 2)  2 Br 2.70
2 Zn 0.2500 0.2500 0.5000 (multiplicity 4)  2 Zn 2.70
3 Br 0.0000 0.5000 0.0000 (multiplicity 2)  2 Zr 2.70

=====

four:
The following is a PBE calculation of a geometry-optimized ZrZn2Br structure, from Alexandria.

DOS at the Fermi energy = 0.457 states/eV/atom
Total magnetization = 0.00 μB per atom
Crystal system = tetragonal
Volume = 19.2 Å³/atom

Cell: 4.2182 4.2182 8.6346 Å, 90.00 90.00 90.00°
With the nearest neighbours (Å) after each atom.
Space group I-4m2 (No. 119)
Unique sites:
1 Zr 0.0000 0.0000 0.0000 (multiplicity 2)  8 Zn 2.98-3.02, 4 Br 3.02
2 Zn 0.0000 0.0000 0.5000 (multiplicity 2)  4 Zr 2.98, 4 Br 3.02, 4 Zn 3.02
3 Zn 0.0000 0.5000 0.2500 (multiplicity 2)  4 Br 2.98, 4 Zr 3.02, 4 Zn 3.02
4 Br 0.0000 0.5000 0.7500 (multiplicity 2)  8 Zn 2.98-3.02, 4 Zr 3.02

=====

Most stable = one

=====

one:
The following is a PBE calculation of a geometry-optimized ZrZn2Br structure, from Alexandria.

DOS at the Fermi energy = 0.769 states/eV/atom
Total magnetization = 0.00 μB per atom
Crystal system = trigonal
Volume = 20.9 Å³/atom

Cell: 3.3427 3.3427 25.9176 Å, 90.00 90.00 120.00°
With the nearest neighbours (Å) after each atom.
Space group R-3m (No. 166, hexagonal axes)
Unique sites:
1 Zr 0.0000 0.0000 0.0000 (multiplicity 3)  6 Zn 2.95
2 Zn 0.0000 0.0000 0.2471 (multiplicity 6)  3 Br 2.84, 3 Zr 2.95
3 Br 0.0000 0.0000 0.5000 (multiplicity 3)  6 Zn 2.84

=====

two:
The following is a PBE calculation of a geometry-optimized ZrZn2Br structure, from Alexandria.

DOS at the Fermi energy = 1.017 states/eV/atom
Total magnetization = 0.00 μB per atom
Crystal system = cubic
Volume = 21.0 Å³/atom

Cell: 6.9488 6.9488 6.9488 Å, 90.00 90.00 90.00°
With the nearest neighbours (Å) after each atom.
Space group Fm-3m (No. 225)
Unique sites:
1 Zr 0.0000 0.0000 0.0000 (multiplicity 4)  8 Zn 3.01
2 Zn 0.2500 0.2500 0.2500 (multiplicity 8)  4 Zr 3.01, 4 Br 3.01
3 Br 0.0000 0.0000 0.5000 (multiplicity 4)  8 Zn 3.01

=====

Most stable = one

=====

one:
The following is a PBE calculation of a geometry-optimized Zr4Br structure, from Alexandria.

DOS at the Fermi energy = 1.350 states/eV/atom
Total magnetization = 0.00 μB per atom
Crystal system = tetragonal
Volume = 25.3 Å³/atom

Cell: 3.8891 3.8891 16.7496 Å, 90.00 90.00 90.00°
With the nearest neighbours (Å) after each atom.
Space group I4/mmm (No. 139)
Unique sites:
1 Zr 0.0000 0.0000 0.1027 (multiplicity 4)  5 Zr 3.14-3.44, 4 Br 3.24
2 Zr 0.0000 0.5000 0.2500 (multiplicity 4)  4 Zr 2.75
3 Br 0.0000 0.0000 0.5000 (multiplicity 2)  8 Zr 3.24

=====

two:
The following is a PBE calculation of a geometry-optimized Zr4Br structure, from Alexandria.

DOS at the Fermi energy = 1.546 states/eV/atom
Total magnetization = 0.00 μB per atom
Crystal system = tetragonal
Volume = 23.1 Å³/atom

Cell: 8.4063 8.4063 3.2625 Å, 90.00 90.00 90.00°
With the nearest neighbours (Å) after each atom.
Space group I4/m (No. 87)
Unique sites:
1 Zr 0.0751 0.2954 0.0000 (multiplicity 8)  2 Br 3.04, 6 Zr 3.06-3.26
2 Br 0.0000 0.0000 0.5000 (multiplicity 2)  8 Zr 3.04, 2 Br 3.26

=====

three:
The following is a PBE calculation of a geometry-optimized Zr4Br structure, from Alexandria.

DOS at the Fermi energy = 0.833 states/eV/atom
Total magnetization = 0.00 μB per atom
Crystal system = cubic
Volume = 24.7 Å³/atom

Cell: 6.2741 6.2741 6.2741 Å, 90.00 90.00 90.00°
With the nearest neighbours (Å) after each atom.
Space group Im-3m (No. 229)
Unique sites:
1 Zr 0.2500 0.2500 0.2500 (multiplicity 8)  2 Br 2.72
2 Br 0.0000 0.0000 0.0000 (multiplicity 2)  8 Zr 2.72

=====

four:
The following is a PBE calculation of a geometry-optimized Zr4Br structure, from Alexandria.

DOS at the Fermi energy = 0.735 states/eV/atom
Total magnetization = 0.00 μB per atom
Crystal system = cubic
Volume = 24.8 Å³/atom

Cell: 4.9892 4.9892 4.9892 Å, 90.00 90.00 90.00°
With the nearest neighbours (Å) after each atom.
Space group Pm-3m (No. 221)
Unique sites:
1 Zr 0.0000 0.0000 0.0000 (multiplicity 1)  12 Zr 3.53
2 Zr 0.0000 0.5000 0.5000 (multiplicity 3)  2 Br 2.49
3 Br 0.5000 0.5000 0.5000 (multiplicity 1)  6 Zr 2.49

=====

Most stable = two

=====

one:
The following is a PBE calculation of a geometry-optimized Zr4Br5 structure, from Alexandria.

DOS at the Fermi energy = 1.076 states/eV/atom
Total magnetization = 0.00 μB per atom
Crystal system = hexagonal
Volume = 22.9 Å³/atom

Cell: 8.5655 8.5655 6.4972 Å, 90.00 90.00 120.00°
With the nearest neighbours (Å) after each atom.
Space group P6_3/mcm (No. 193)
Unique sites:
1 Zr 0.0000 0.0000 0.0000 (multiplicity 2)  6 Br 3.10, 8 Zr 3.21-3.25
2 Zr 0.0000 0.3230 0.2500 (multiplicity 6)  2 Br 2.70
3 Br 0.0000 0.3077 0.7500 (multiplicity 6)  2 Zr 2.70
4 Br 0.3333 0.6667 0.0000 (multiplicity 4)  8 Br 3.25-3.39, 6 Zr 3.32

=====

two:
The following is a PBE calculation of a geometry-optimized Zr4Br5 structure, from Alexandria.

DOS at the Fermi energy = 0.938 states/eV/atom
Total magnetization = 0.00 μB per atom
Crystal system = tetragonal
Volume = 23.8 Å³/atom

Cell: 8.8949 8.8949 5.4226 Å, 90.00 90.00 90.00°
With the nearest neighbours (Å) after each atom.
Space group I4/mmm (No. 139)
Unique sites:
1 Zr 0.0000 0.3382 0.0000 (multiplicity 8)  3 Br 2.81-3.01, 1 Zr 2.88
2 Br 0.0000 0.0000 0.0000 (multiplicity 2)  4 Zr 3.01
3 Br 0.1855 0.1855 0.5000 (multiplicity 8)  2 Zr 2.81

=====

Most stable = two

=====

one:
The following is a PBE calculation of a geometry-optimized C structure, from Alexandria.

DOS at the Fermi energy = 0.000 states/eV/atom
Total magnetization = 0.00 μB per atom
Crystal system = hexagonal
Volume = 11.2 Å³/atom

Cell: 2.4682 2.4682 25.4098 Å, 90.00 90.00 120.00°
With the nearest neighbours (Å) after each atom.
Space group P6_3/mmc (No. 194)
Unique sites:
1 C 0.0000 0.0000 0.2500 (multiplicity 2)  3 C 1.42
2 C 0.3333 0.6667 0.0872 (multiplicity 4)  3 C 1.42
3 C 0.3333 0.6667 0.2500 (multiplicity 2)  3 C 1.42
4 C 0.3333 0.6667 0.5872 (multiplicity 4)  3 C 1.42

=====

two:
The following is a PBE calculation of a geometry-optimized C structure, from Alexandria.

DOS at the Fermi energy = 0.061 states/eV/atom
Total magnetization = 0.14 μB per atom
Crystal system = monoclinic
Volume = 11.7 Å³/atom

Cell: 8.9463 4.8710 8.2002 Å, 90.00 113.63 90.00°
With the nearest neighbours (Å) after each atom.
Space group C2 (No. 5)
Unique sites:
1 C 0.0602 0.0000 0.0878 (multiplicity 4)  3 C 1.41-1.44
2 C 0.0600 0.5183 0.0891 (multiplicity 4)  3 C 1.41-1.43
3 C 0.1186 0.7583 0.1964 (multiplicity 4)  3 C 1.43-1.47
4 C 0.1232 0.2596 0.1615 (multiplicity 4)  3 C 1.36-1.42
5 C 0.2079 0.7390 0.3901 (multiplicity 4)  3 C 1.47-1.57
6 C 0.2376 0.9545 0.5431 (multiplicity 4)  2 C 1.36-1.50
7 C 0.2483 0.2740 0.3244 (multiplicity 4)  2 C 1.36

=====

three:
The following is a PBE calculation of a geometry-optimized C structure, from Alexandria.

DOS at the Fermi energy = 0.000 states/eV/atom
Total magnetization = 0.00 μB per atom
Crystal system = tetragonal
Volume = 6.0 Å³/atom

Cell: 4.3810 4.3810 2.5120 Å, 90.00 90.00 90.00°
With the nearest neighbours (Å) after each atom.
Space group I4/mmm (No. 139)
Unique sites:
1 C 0.1802 0.1802 0.0000 (multiplicity 8)  4 C 1.52-1.58

=====

Most stable = one

=====

one:
The following is a PBE calculation of a geometry-optimized CaC structure, from Alexandria.

DOS at the Fermi energy = 0.473 states/eV/atom
Total magnetization = 0.00 μB per atom
Crystal system = triclinic
Volume = 22.6 Å³/atom

Cell: 3.7630 4.0623 6.9257 Å, 80.30 74.38 62.73°
With the nearest neighbours (Å) after each atom.
Space group P-1 (No. 2)
Unique sites:
1 Ca 0.2319 0.2640 0.2676 (multiplicity 2)  5 C 2.45-2.73
2 C 0.4534 0.6497 0.4428 (multiplicity 2)  1 C 1.29

=====

two:
The following is a PBE calculation of a geometry-optimized CaC structure, from Alexandria.

DOS at the Fermi energy = 0.393 states/eV/atom
Total magnetization = 0.00 μB per atom
Crystal system = orthorhombic
Volume = 22.4 Å³/atom

Cell: 6.9172 7.0438 7.3649 Å, 90.00 90.00 90.00°
With the nearest neighbours (Å) after each atom.
Space group P2_12_12_1 (No. 19)
Unique sites:
1 Ca 0.0209 0.0572 0.1300 (multiplicity 4)  3 C 2.55-2.57
2 Ca 0.0244 0.6048 0.8560 (multiplicity 4)  5 C 2.54-2.68
3 C 0.1890 0.7358 0.1372 (multiplicity 4)  1 C 1.30
4 C 0.1985 0.4083 0.6092 (multiplicity 4)  1 C 1.30

=====

three:
The following is a PBE calculation of a geometry-optimized CaC structure, from Alexandria.

DOS at the Fermi energy = 0.339 states/eV/atom
Total magnetization = 0.96 μB per atom
Crystal system = hexagonal
Volume = 18.5 Å³/atom

Cell: 3.6303 3.6303 6.4932 Å, 90.00 90.00 120.00°
With the nearest neighbours (Å) after each atom.
Space group P6_3/mmc (No. 194)
Unique sites:
1 Ca 0.0000 0.0000 0.0000 (multiplicity 2)  6 C 2.65
2 C 0.3333 0.6667 0.2500 (multiplicity 2)  6 Ca 2.65

=====

Most stable = one

=====

one:
The following is a PBE calculation of a geometry-optimized CaC2 structure, from Alexandria.

DOS at the Fermi energy = 0.000 states/eV/atom
Total magnetization = 0.00 μB per atom
Crystal system = trigonal
Volume = 14.6 Å³/atom

Cell: 4.8441 4.8441 6.4700 Å, 90.00 90.00 120.00°
With the nearest neighbours (Å) after each atom.
Space group R-3m (No. 166, hexagonal axes)
Unique sites:
1 Ca 0.0000 0.0000 0.0000 (multiplicity 3)  8 C 2.60-2.83
2 C 0.0000 0.0000 0.4021 (multiplicity 6)  1 C 1.27

=====

two:
The following is a PBE calculation of a geometry-optimized CaC2 structure, from Alexandria.

DOS at the Fermi energy = 0.694 states/eV/atom
Total magnetization = 0.00 μB per atom
Crystal system = hexagonal
Volume = 13.4 Å³/atom

Cell: 7.2282 7.2282 2.6728 Å, 90.00 90.00 120.00°
With the nearest neighbours (Å) after each atom.
Space group P-62m (No. 189)
Unique sites:
1 Ca 0.0000 0.0000 0.0000 (multiplicity 1)  9 C 2.49-2.69, 2 Ca 2.67
2 Ca 0.3333 0.6667 0.5000 (multiplicity 2)  9 C 2.57-2.64, 2 Ca 2.67
3 C 0.0000 0.2914 0.5000 (multiplicity 3)  2 C 1.46
4 C 0.0000 0.3722 0.0000 (multiplicity 3)  2 C 1.46

=====

Most stable = one